(1)
La3NdHo | PBE | relaxed

Structure (POSCAR):
```
La3NdHo
1.0
7.9110 0.0000 0.0000
-3.9555 6.8511 0.0000
0.0000 0.0000 6.7278
La Nd Ho
6 2 2
Direct
0.1991 0.3981 0.2500
0.1991 0.8009 0.2500
0.3981 0.1991 0.7500
0.6019 0.8009 0.2500
0.8009 0.1991 0.7500
0.8009 0.6019 0.7500
0.0000 0.0000 0.0000
0.0000 0.0000 0.5000
0.3333 0.6667 0.7500
0.6667 0.3333 0.2500
```

Magnetization: 0.00 Bohr magnetons per cell

---

(2)
V4Ga3H2 | PBE | relaxed

Structure (POSCAR):
```
V4Ga3H2
1.0
5.9728 -1.4740 0.0000
5.9728 1.4740 0.0000
-3.2347 0.0000 6.4217
V Ga H
4 3 2
Direct
0.0992 0.0992 0.1613
0.3137 0.3137 0.4530
0.6863 0.6863 0.5470
0.9008 0.9008 0.8387
0.0000 0.0000 0.5000
0.3782 0.3782 0.1329
0.6218 0.6218 0.8671
0.2960 0.2960 0.6967
0.7040 0.7040 0.3033
```

Magnetization: 0.00 Bohr magnetons per cell

---

(3)
AgWBr2 | PBE | relaxed

Structure (POSCAR):
```
AgWBr2
1.0
1.6293 0.9407 9.3771
-1.6293 0.9407 9.3771
0.0000 -1.8813 9.3771
Ag W Br
1 1 2
Direct
0.0000 0.0000 0.0000
0.7441 0.7441 0.7441
0.2591 0.2591 0.2591
0.4732 0.4732 0.4732
```

Magnetization: 0.00 Bohr magnetons per cell
Formation energy without anion corrections: 0.39 eV/atom

---

(4)
LiFe3Ni6 | PBE | relaxed

Structure (POSCAR):
```
LiFe3Ni6
1.0
4.1400 -2.3886 0.0000
4.1400 2.3886 0.0000
-1.8382 0.0000 5.9286
Li Fe Ni
1 3 6
Direct
0.0000 0.0000 0.0000
0.3930 0.3930 0.8183
0.5000 0.5000 0.5000
0.6070 0.6070 0.1817
0.0969 0.5959 0.1899
0.1549 0.1549 0.4379
0.4041 0.9031 0.8101
0.5959 0.0969 0.1899
0.8451 0.8451 0.5621
0.9031 0.4041 0.8101
```

Magnetization: 11.62 Bohr magnetons per cell

---

(5)
CdSbTe2Ir | PBE | relaxed

Structure (POSCAR):
```
CdSbTe2Ir
1.0
5.5064 0.0000 0.0000
0.0000 5.5064 0.0000
0.0000 0.0000 4.9428
Cd Sb Te Ir
1 1 2 1
Direct
0.0000 0.0000 0.0000
0.5000 0.5000 0.0000
0.0000 0.5000 0.5000
0.5000 0.0000 0.5000
0.5000 0.5000 0.5000
```

Magnetization: 0.00 Bohr magnetons per cell
Formation energy without anion corrections: 0.41 eV/atom

---

(6)
Er3SiNi | PBE | relaxed

Structure (POSCAR):
```
Er3SiNi
1.0
6.8357 -2.0940 0.0000
6.8357 2.0940 0.0000
-0.4795 0.0000 7.9895
Er Si Ni
6 2 2
Direct
0.0516 0.0516 0.3027
0.2345 0.2345 0.6866
0.3902 0.3902 0.0620
0.6098 0.6098 0.9380
0.7655 0.7655 0.3134
0.9484 0.9484 0.6973
0.4136 0.4136 0.4358
0.5864 0.5864 0.5642
0.2036 0.2036 0.0781
0.7964 0.7964 0.9219
```

Magnetization: 0.02 Bohr magnetons per cell
Formation energy without anion corrections: -0.47 eV/atom

---

(7)
NaHgRu2Au | PBE | relaxed

Structure (POSCAR):
```
NaHgRu2Au
1.0
4.6494 0.0000 0.0000
0.0000 4.6494 0.0000
0.0000 0.0000 4.8072
Na Hg Ru Au
1 1 2 1
Direct
0.0000 0.0000 0.0000
0.0000 0.0000 0.5000
0.0000 0.5000 0.0000
0.5000 0.0000 0.0000
0.5000 0.5000 0.5000
```

Magnetization: 3.94 Bohr magnetons per cell

---

(8)
CsIn4Au4 | PBE | relaxed

Structure (POSCAR):
```
CsIn4Au4
1.0
7.1341 0.0000 0.0000
0.0000 7.1341 0.0000
0.0000 0.0000 9.4240
Cs In Au
2 8 8
Direct
0.2500 0.7500 0.2500
0.7500 0.2500 0.7500
0.0036 0.2500 0.1186
0.2500 0.0036 0.6186
0.2500 0.4964 0.6186
0.4964 0.2500 0.1186
0.5036 0.7500 0.8814
0.7500 0.5036 0.3814
0.7500 0.9964 0.3814
0.9964 0.7500 0.8814
0.0530 0.2500 0.4180
0.2500 0.0530 0.9180
0.2500 0.4470 0.9180
0.4470 0.2500 0.4180
0.5530 0.7500 0.5820
0.7500 0.5530 0.0820
0.7500 0.9470 0.0820
0.9470 0.7500 0.5820
```

Magnetization: 0.00 Bohr magnetons per cell

---

(9)
Pm6HoPb | PBE | relaxed

Structure (POSCAR):
```
Pm6HoPb
1.0
4.9960 0.0000 0.0000
0.0000 4.9960 0.0000
0.0000 0.0000 10.3254
Pm Ho Pb
6 1 1
Direct
0.0000 0.0000 0.0000
0.0000 0.0000 0.5000
0.0000 0.5000 0.2449
0.0000 0.5000 0.7551
0.5000 0.0000 0.2449
0.5000 0.0000 0.7551
0.5000 0.5000 0.5000
0.5000 0.5000 0.0000
```

Magnetization: 0.00 Bohr magnetons per cell

---

(10)
Ho5Mg | PBE | relaxed

Structure (POSCAR):
```
Ho5Mg
1.0
3.0515 1.7618 5.5402
-3.0515 1.7618 5.5402
0.0000 -3.5236 5.5402
Ho Mg
5 1
Direct
0.0000 0.6610 0.3390
0.1674 0.1674 0.1674
0.3390 0.0000 0.6610
0.6610 0.3390 0.0000
0.8326 0.8326 0.8326
0.5000 0.5000 0.5000
```

Magnetization: 0.00 Bohr magnetons per cell

---

(11)
Zr3Cu2Hg | PBE | relaxed

Structure (POSCAR):
```
Zr3Cu2Hg
1.0
3.2546 0.0000 0.0000
0.0000 3.2546 0.0000
0.0000 0.0000 10.7811
Zr Cu Hg
3 2 1
Direct
0.0000 0.0000 0.0000
0.0000 0.0000 0.3059
0.0000 0.0000 0.6941
0.5000 0.5000 0.1464
0.5000 0.5000 0.8536
0.5000 0.5000 0.5000
```

Magnetization: 0.44 Bohr magnetons per cell

---

(12)
Tl12In17 | PBE | relaxed

Structure (POSCAR):
```
Tl12In17
1.0
-5.9797 5.9797 5.9797
5.9797 -5.9797 5.9797
5.9797 5.9797 -5.9797
Tl In
12 17
Direct
0.0000 0.1946 0.3879
0.0000 0.3879 0.1946
0.1933 0.8054 0.8054
0.1946 0.0000 0.3879
0.1946 0.3879 0.0000
0.3879 0.0000 0.1946
0.3879 0.1946 0.0000
0.6121 0.6121 0.8067
0.6121 0.8067 0.6121
0.8054 0.1933 0.8054
0.8054 0.8054 0.1933
0.8067 0.6121 0.6121
0.0000 0.0000 0.0000
0.0000 0.0000 0.6596
0.0000 0.4170 0.6896
0.0000 0.6596 0.0000
0.0000 0.6896 0.4170
0.2726 0.5830 0.5830
0.3104 0.3104 0.7274
0.3104 0.7274 0.3104
0.3404 0.3404 0.3404
0.4170 0.0000 0.6896
0.4170 0.6896 0.0000
0.5830 0.2726 0.5830
0.5830 0.5830 0.2726
0.6596 0.0000 0.0000
0.6896 0.0000 0.4170
0.6896 0.4170 0.0000
0.7274 0.3104 0.3104
```

Magnetization: 0.00 Bohr magnetons per cell

---

no.,electronic total energy (eV per atom),D(E_F) (states/eV/cell)
1,-4.54,9.61
2,-5.77,7.50
3,-4.40,3.41
4,-6.04,10.65
5,-3.62,4.56
6,-5.44,9.77
7,-2.82,3.90
8,-3.04,11.59
9,-4.74,8.52
10,-4.07,8.47
11,-5.81,8.32
12,-2.51,16.45